(1)
A relaxed structure of Er3Mg2Pb3, computed with PBE-GGA.

distance to the lowest polymorph of the same formula: 0 meV per atom

Cell: 6.3027 8.8795 8.8795 Å, 120.00 90.00 90.00°
Sites, in units of the cell vectors:
Er  0.7500  0.2408  0.0000
Er  0.7500  0.7592  0.7592
Er  0.7500  0.0000  0.2408
Er  0.2500  0.7592  0.0000
Er  0.2500  0.2408  0.2408
Er  0.2500  0.0000  0.7592
Mg  0.0000  0.3333  0.6667
Mg  0.5000  0.6667  0.3333
Mg  0.0000  0.6667  0.3333
Mg  0.5000  0.3333  0.6667
Pb  0.7500  0.6012  0.0000
Pb  0.7500  0.3988  0.3988
Pb  0.7500  0.0000  0.6012
Pb  0.2500  0.3988  0.0000
Pb  0.2500  0.6012  0.6012
Pb  0.2500  0.0000  0.3988

(2)
A relaxed structure of ErMgPb, computed with PBE-GGA.

final energy: -3.677 eV per atom

Cell: 4.4261 4.4261 8.5965 Å, 104.92 104.92 90.00°
Sites, in units of the cell vectors:
Er  0.6647  0.6647  0.3294
Er  0.3353  0.3353  0.6706
Mg  0.5000  0.0000  0.0000
Mg  0.0000  0.5000  0.0000
Pb  0.1389  0.1389  0.2777
Pb  0.8611  0.8611  0.7223

(3)
A relaxed structure of PmErMgPb, computed with PBE-GGA.

final energy: -3.936 eV per atom

Cell: 5.4001 5.4001 5.4001 Å, 60.00 60.00 60.00°
Sites, in units of the cell vectors:
Pb  0.7500  0.7500  0.7500
Mg  0.2500  0.2500  0.2500
Pm  0.0000  0.0000  0.0000
Er  0.5000  0.5000  0.5000

no.,calculated density (g cm⁻³)
1,9.0
2,8.4
3,8.1